1.
Material: Rb2Sb2Mo
Method: DFT, PBE
State: relaxed

Values from the calculation:
volume	36.011	A^3/atom
E_tot	-42.0	eV per cell
symmetry	No. 63
magnetization	2.3	μB per cell

Unit cell a=9.409 b=9.409 c=5.551 alpha=90.00 beta=90.00 gamma=132.87
Sites, in units of the cell vectors:
Rb  0.079  0.921  0.750
Rb  0.282  0.718  0.250
Rb  0.718  0.282  0.750
Rb  0.921  0.079  0.250
Sb  0.190  0.412  0.750
Sb  0.412  0.190  0.250
Sb  0.588  0.810  0.750
Sb  0.810  0.588  0.250
Mo  0.500  0.500  0.000
Mo  0.500  0.500  0.500

---

2.
Material: Rb6Sb3Mo
Method: DFT, PBE
State: relaxed

Values from the calculation:
volume	42.296	A^3/atom
E_tot	-61.0	eV per cell
symmetry	No. 11
magnetization	5.8	μB per cell

Unit cell a=10.866 b=6.350 c=12.485 alpha=90.00 beta=100.92 gamma=90.00
Sites, in units of the cell vectors:
Rb  0.046  0.250  0.082
Rb  0.057  0.250  0.449
Rb  0.251  0.750  0.784
Rb  0.370  0.250  0.979
Rb  0.374  0.250  0.322
Rb  0.407  0.250  0.638
Rb  0.593  0.750  0.362
Rb  0.626  0.750  0.678
Rb  0.630  0.750  0.021
Rb  0.749  0.250  0.216
Rb  0.943  0.750  0.551
Rb  0.954  0.750  0.918
Sb  0.073  0.250  0.770
Sb  0.289  0.750  0.489
Sb  0.320  0.750  0.122
Sb  0.680  0.250  0.878
Sb  0.711  0.250  0.511
Sb  0.927  0.750  0.230
Mo  0.177  0.750  0.279
Mo  0.823  0.250  0.721

---

3.
Material: RbSbMo
Method: DFT, PBE
State: relaxed

Values from the calculation:
volume	32.806	A^3/atom
ΔE to the lowest computed polymorph	0.0	meV per atom
symmetry	No. 216
magnetization	4.0	μB per cell

Unit cell a=5.182 b=5.182 c=5.182 alpha=60.00 beta=60.00 gamma=60.00
Sites, in units of the cell vectors:
Rb  0.000  0.000  0.000
Sb  0.500  0.500  0.500
Mo  0.250  0.250  0.250

---

4.
Material: RbMo6Se7
Method: DFT, PBE
State: relaxed

Values from the calculation:
volume	23.687	A^3/atom
E_tot	-198.6	eV per cell
symmetry	No. 148
magnetization	0.0	μB per cell

Unit cell a=9.978 b=9.978 c=9.978 alpha=57.57 beta=57.57 gamma=57.57
Sites, in units of the cell vectors:
Rb  0.131  0.131  0.131
Rb  0.869  0.869  0.869
Mo  0.192  0.385  0.509
Mo  0.303  0.624  0.440
Mo  0.376  0.560  0.697
Mo  0.385  0.509  0.192
Mo  0.440  0.303  0.624
Mo  0.491  0.808  0.615
Mo  0.509  0.192  0.385
Mo  0.560  0.697  0.376
Mo  0.615  0.491  0.808
Mo  0.624  0.440  0.303
Mo  0.697  0.376  0.560
Mo  0.808  0.615  0.491
Se  0.078  0.704  0.329
Se  0.124  0.485  0.750
Se  0.250  0.876  0.515
Se  0.281  0.281  0.281
Se  0.296  0.671  0.922
Se  0.329  0.078  0.704
Se  0.485  0.750  0.124
Se  0.515  0.250  0.876
Se  0.671  0.922  0.296
Se  0.704  0.329  0.078
Se  0.719  0.719  0.719
Se  0.750  0.124  0.485
Se  0.876  0.515  0.250
Se  0.922  0.296  0.671